Entry from Alexandria via LeMat-Bulk: a relaxed structure of AcNpPt2 (GGA-PBE).

Output
The calculation puts the formation energy at -0.760 eV per atom. As for the density of states at the Fermi level: 11.48 states/eV/f.u. As for the relative energy among the computed polymorphs: 0 meV/atom. The calculated volume comes out at 26.67 A^3/atom. The symmetry is R-3m (166). The size of the total moment comes out at 3.7 μB/f.u.

a = 4.291 Å, b = 4.291 Å, c = 7.134 Å
α = 72.50°, β = 72.50°, γ = 60.00°
Sites, in units of the cell vectors:
Np (0.000, 0.000, 0.000)
Ac (0.500, 0.500, 0.500)
Pt (0.263, 0.263, 0.212)
Pt (0.737, 0.737, 0.788)

Entry from Alexandria via LeMat-Bulk: a relaxed structure of AcNpPt4 (GGA-PBE).

Output
The calculation puts the formation energy at -0.753 eV per atom. As for the density of states at the Fermi level: 14.94 states/eV/f.u. The calculated volume comes out at 20.24 A^3/atom. The symmetry is F-43m (216). The size of the total moment comes out at 4.2 μB/f.u.

a = 5.558 Å, b = 5.558 Å, c = 5.558 Å
α = 60.00°, β = 60.00°, γ = 60.00°
Sites, in units of the cell vectors:
Np (0.000, 0.000, 0.000)
Ac (0.250, 0.250, 0.250)
Pt (0.626, 0.626, 0.123)
Pt (0.626, 0.123, 0.626)
Pt (0.626, 0.626, 0.626)
Pt (0.123, 0.626, 0.626)

Entry from Alexandria via LeMat-Bulk: a relaxed structure of AcNpPt2 (GGA-PBE).

Output
The calculation puts the formation energy at -0.661 eV per atom. As for the density of states at the Fermi level: 11.33 states/eV/f.u. As for the relative energy among the computed polymorphs: 99 meV/atom. The calculated volume comes out at 24.20 A^3/atom. The symmetry is P4/mmm (123). The size of the total moment comes out at 4.1 μB/f.u.

a = 3.642 Å, b = 3.642 Å, c = 7.297 Å
α = 90.00°, β = 90.00°, γ = 90.00°
Sites, in units of the cell vectors:
Np (0.500, 0.500, 0.500)
Ac (0.500, 0.500, 0.000)
Pt (0.000, 0.000, 0.712)
Pt (0.000, 0.000, 0.288)

Entry from Alexandria via LeMat-Bulk: a relaxed structure of Ac2Np3Pt12Rh (GGA-PBE).

Output
The calculation puts the formation energy at -0.448 eV per atom. As for the density of states at the Fermi level: 38.50 states/eV/f.u. The calculated volume comes out at 20.96 A^3/atom. The symmetry is R-3m (166). The size of the total moment comes out at 9.7 μB/f.u.

a = 7.308 Å, b = 7.308 Å, c = 7.308 Å
α = 81.01°, β = 81.01°, γ = 81.01°
Sites, in units of the cell vectors:
Ac (0.644, 0.644, 0.644)
Ac (0.356, 0.356, 0.356)
Np (0.500, 0.000, 0.000)
Np (0.000, 0.500, 0.000)
Np (0.000, 0.000, 0.500)
Pt (0.397, 0.397, 0.927)
Pt (0.796, 0.796, 0.244)
Pt (0.244, 0.796, 0.796)
Pt (0.927, 0.397, 0.397)
Pt (0.796, 0.244, 0.796)
Pt (0.397, 0.927, 0.397)
Pt (0.603, 0.603, 0.073)
Pt (0.204, 0.204, 0.756)
Pt (0.756, 0.204, 0.204)
Pt (0.073, 0.603, 0.603)
Pt (0.204, 0.756, 0.204)
Pt (0.603, 0.073, 0.603)
Rh (0.000, 0.000, 0.000)

Entry from Alexandria via LeMat-Bulk: a relaxed structure of Ac2NpSb3Pt4 (GGA-PBE).

Output
As for the density of states at the Fermi level: 8.88 states/eV/f.u. The value obtained for the raw total energy is -6.582 eV per atom. The calculated volume comes out at 24.68 A^3/atom. The symmetry is P-4m2 (115). The size of the total moment comes out at 4.2 μB/f.u.

a = 4.682 Å, b = 4.682 Å, c = 11.260 Å
α = 90.00°, β = 90.00°, γ = 90.00°
Sites, in units of the cell vectors:
Ac (0.500, 0.000, 0.224)
Ac (0.000, 0.500, 0.776)
Np (0.500, 0.500, 0.500)
Sb (0.000, 0.000, 0.500)
Sb (0.500, 0.000, 0.877)
Sb (0.000, 0.500, 0.123)
Pt (0.500, 0.500, 0.000)
Pt (0.000, 0.000, 0.000)
Pt (0.500, 0.000, 0.643)
Pt (0.000, 0.500, 0.357)

Entry from Alexandria via LeMat-Bulk: a relaxed structure of AcPu2Np (GGA-PBE).

Output
The calculation puts the formation energy at 0.592 eV per atom. As for the density of states at the Fermi level: 9.06 states/eV/f.u. The calculated volume comes out at 27.71 A^3/atom. The symmetry is R-3m (166). The size of the total moment comes out at 0.8 μB/f.u.

a = 3.827 Å, b = 3.827 Å, c = 9.011 Å
α = 77.74°, β = 77.74°, γ = 60.00°
Sites, in units of the cell vectors:
Np (0.500, 0.500, 0.500)
Ac (0.000, 0.000, 0.000)
Pu (0.126, 0.126, 0.623)
Pu (0.874, 0.874, 0.377)

Entry from Alexandria via LeMat-Bulk: a relaxed structure of Rb3AcNp2S6 (GGA-PBE).

Output
As for the density of states at the Fermi level: 22.48 states/eV/f.u. The value obtained for the raw total energy is -6.316 eV per atom. The calculated volume comes out at 30.02 A^3/atom. The symmetry is C2/m (12). The size of the total moment comes out at 8.0 μB/f.u.

a = 7.345 Å, b = 7.345 Å, c = 8.092 Å
α = 98.73°, β = 98.73°, γ = 120.00°
Sites, in units of the cell vectors:
Rb (0.165, 0.835, 0.500)
Rb (0.835, 0.165, 0.500)
Rb (0.500, 0.500, 0.500)
Ac (0.000, 0.000, 0.000)
Np (0.333, 0.667, 0.000)
Np (0.667, 0.333, 0.000)
S (0.935, 0.583, 0.805)
S (0.713, 0.713, 0.195)
S (0.065, 0.417, 0.195)
S (0.583, 0.935, 0.805)
S (0.287, 0.287, 0.805)
S (0.417, 0.065, 0.195)

Entry from Alexandria via LeMat-Bulk: a relaxed structure of Rb2AcNpS4 (GGA-PBE).

Output
As for the density of states at the Fermi level: 7.27 states/eV/f.u. The value obtained for the raw total energy is -6.028 eV per atom. The calculated volume comes out at 31.04 A^3/atom. The symmetry is P2/m (10). The size of the total moment comes out at 4.0 μB/f.u.

a = 4.301 Å, b = 7.487 Å, c = 8.102 Å
α = 107.90°, β = 90.00°, γ = 90.00°
Sites, in units of the cell vectors:
Rb (0.500, 0.000, 0.500)
Rb (0.000, 0.500, 0.500)
Ac (0.000, 0.000, 0.000)
Np (0.500, 0.500, 0.000)
S (0.500, 0.248, 0.202)
S (0.500, 0.752, 0.798)
S (0.000, 0.284, 0.808)
S (0.000, 0.716, 0.192)

Entry from Alexandria via LeMat-Bulk: a relaxed structure of Rb3Ac3NpS8 (GGA-PBE).

Output
As for the density of states at the Fermi level: 4.24 states/eV/f.u. The value obtained for the raw total energy is -5.832 eV per atom. The calculated volume comes out at 34.47 A^3/atom. The symmetry is R-3m (166). The size of the total moment comes out at 3.0 μB/f.u.

a = 8.748 Å, b = 8.748 Å, c = 9.294 Å
α = 118.08°, β = 90.00°, γ = 120.00°
Sites, in units of the cell vectors:
Rb (0.000, 0.000, 0.000)
Rb (0.000, 0.500, 0.000)
Rb (0.500, 0.500, 0.000)
Ac (0.500, 0.000, 0.500)
Ac (0.500, 0.500, 0.500)
Ac (0.000, 0.500, 0.500)
Np (0.000, 0.000, 0.500)
S (0.265, 0.531, 0.296)
S (0.735, 0.469, 0.704)
S (0.784, 0.569, 0.313)
S (0.216, 0.431, 0.687)
S (0.784, 0.028, 0.313)
S (0.216, 0.972, 0.687)
S (0.244, 0.028, 0.313)
S (0.756, 0.972, 0.687)

Entry from Alexandria via LeMat-Bulk: a relaxed structure of Rb2AcNpS6 (GGA-PBE).

Output
As for the density of states at the Fermi level: 5.95 states/eV/f.u. The value obtained for the raw total energy is -5.626 eV per atom. The calculated volume comes out at 31.45 A^3/atom. The symmetry is P2_1/c (14). The size of the total moment comes out at 0.1 μB/f.u.

a = 7.630 Å, b = 7.627 Å, c = 10.807 Å
α = 90.00°, β = 90.14°, γ = 90.00°
Sites, in units of the cell vectors:
Rb (0.002, 0.986, 0.250)
Rb (0.502, 0.514, 0.750)
Rb (0.998, 0.014, 0.750)
Rb (0.498, 0.486, 0.250)
Ac (0.500, 0.000, 0.000)
Ac (0.000, 0.500, 0.500)
Np (0.500, 0.000, 0.500)
Np (0.000, 0.500, 0.000)
S (0.253, 0.708, 0.018)
S (0.753, 0.792, 0.518)
S (0.747, 0.292, 0.982)
S (0.247, 0.208, 0.482)
S (0.293, 0.746, 0.481)
S (0.793, 0.754, 0.981)
S (0.707, 0.254, 0.519)
S (0.207, 0.246, 0.019)
S (0.964, 0.504, 0.230)
S (0.464, 0.996, 0.730)
S (0.036, 0.496, 0.770)
S (0.536, 0.004, 0.270)

Entry from Alexandria via LeMat-Bulk: a relaxed structure of RbAcNpS4 (GGA-PBE).

Output
As for the density of states at the Fermi level: 9.65 states/eV/f.u. The value obtained for the raw total energy is -6.446 eV per atom. The calculated volume comes out at 29.65 A^3/atom. The symmetry is I4mm (107). The size of the total moment comes out at 3.0 μB/f.u.

a = 5.161 Å, b = 5.161 Å, c = 8.604 Å
α = 107.45°, β = 107.45°, γ = 90.00°
Sites, in units of the cell vectors:
Rb (0.643, 0.643, 0.286)
Ac (0.365, 0.365, 0.730)
Np (0.007, 0.007, 0.014)
S (0.984, 0.484, 0.969)
S (0.484, 0.984, 0.969)
S (0.838, 0.838, 0.677)
S (0.178, 0.178, 0.356)

Entry from Alexandria via LeMat-Bulk: a relaxed structure of Rb3Ac2NpS6 (GGA-PBE).

Output
As for the density of states at the Fermi level: 4.79 states/eV/f.u. The value obtained for the raw total energy is -5.753 eV per atom. The calculated volume comes out at 31.87 A^3/atom. The symmetry is C2/m (12). The size of the total moment comes out at 4.0 μB/f.u.

a = 7.567 Å, b = 7.567 Å, c = 8.116 Å
α = 98.96°, β = 98.96°, γ = 120.00°
Sites, in units of the cell vectors:
Rb (0.167, 0.833, 0.500)
Rb (0.833, 0.167, 0.500)
Rb (0.500, 0.500, 0.500)
Ac (0.333, 0.667, 0.000)
Ac (0.667, 0.333, 0.000)
Np (0.000, 0.000, 0.000)
S (0.934, 0.615, 0.801)
S (0.748, 0.748, 0.199)
S (0.066, 0.385, 0.199)
S (0.615, 0.934, 0.801)
S (0.252, 0.252, 0.801)
S (0.385, 0.066, 0.199)